4
Lattice="2.942 0.000 0.000 0.000 2.942 0.000 0.000 0.000 6.490" Properties=species:S:1:pos:R:3 comment="CrTc2Se, relaxed, DFT PBE-GGA" total_energy_ev_per_atom=-8.35 n_ef_per_ev_fu=2.40 total_magnetization_mub_per_cell=0.001 pbc="T T T"
Cr 0.000 0.000 0.000
Tc 0.000 0.000 3.124
Tc 1.471 1.471 4.781
Se 1.471 1.471 1.352



4
Lattice="1.528 0.882 8.118 -1.528 0.882 8.118 0.000 -1.764 8.118" Properties=species:S:1:pos:R:3 comment="CrTcSe2, relaxed, DFT PBE-GGA" total_energy_ev_per_atom=-6.57 n_ef_per_ev_fu=4.28 total_magnetization_mub_per_cell=0.741 pbc="T T T"
Cr 0.000 0.000 0.000
Tc 0.000 0.000 12.176
Se 0.000 0.000 9.773
Se 0.000 0.000 14.580



3
Lattice="4.082 0.000 0.000 -2.041 3.535 0.000 0.000 0.000 2.928" Properties=species:S:1:pos:R:3 comment="CrTcSe, relaxed, DFT PBE-GGA" total_energy_ev_per_atom=-7.59 n_ef_per_ev_fu=3.18 total_magnetization_mub_per_cell=0.002 pbc="T T T"
Cr 0.000 0.000 0.000
Tc 0.000 2.357 1.464
Se 2.041 1.178 0.000